[1]
# AgPb2IBr

Crystalline AgPb2IBr at its relaxed geometry (PBE-GGA, Alexandria).

Computed properties:
The magnetization is 0.000 μB/cell. Its total energy is -11.008 eV per cell.

abc: 6.226 5.394 6.226
angles: 90.00 90.00 90.00
Sites, in units of the cell vectors:
1 I 0.000 0.000 0.000
2 Br 0.500 0.500 0.500
3 Pb 0.500 0.000 0.000
4 Pb 0.000 0.000 0.500
5 Ag 0.000 0.500 0.000



[2]
# RbNbSiSe2

Crystalline RbNbSiSe2 at its relaxed geometry (PBE-GGA, Alexandria).

Computed properties:
The magnetization is 3.685 μB/cell. Its total energy is -13.219 eV per cell.

abc: 5.820 5.306 5.820
angles: 90.00 90.00 90.00
Sites, in units of the cell vectors:
1 Se 0.500 0.000 0.000
2 Se 0.000 0.000 0.500
3 Rb 0.000 0.000 0.000
4 Si 0.500 0.500 0.500
5 Nb 0.000 0.500 0.000



[3]
# PrSm7Ho3

Crystalline PrSm7Ho3 at its relaxed geometry (PBE-GGA, Alexandria).

Computed properties:
For the relative energy among the computed polymorphs, the calculation gives 0.0 meV per atom. The magnetization is 0.000 μB/cell. Its total energy is -50.103 eV per cell.

abc: 6.744 6.557 8.726
angles: 80.90 80.49 95.63
Sites, in units of the cell vectors:
1 Sm 0.221 0.724 0.789
2 Sm 0.000 0.500 0.500
3 Sm 0.710 0.553 0.860
4 Sm 0.779 0.276 0.211
5 Sm 0.260 0.015 0.413
6 Sm 0.290 0.447 0.140
7 Sm 0.740 0.985 0.587
8 Ho 0.066 0.191 0.839
9 Ho 0.934 0.809 0.161
10 Ho 0.500 0.000 0.000
11 Pr 0.500 0.500 0.500



[4]
# La2ZnIn

Crystalline La2ZnIn at its relaxed geometry (PBE-GGA, Alexandria).

Computed properties:
The magnetization is 0.000 μB/cell. Its total energy is -15.431 eV per cell.

abc: 5.445 3.882 5.490
angles: 90.00 90.01 90.01
Sites, in units of the cell vectors:
1 La 0.000 0.125 0.892
2 La 0.500 0.125 0.358
3 Zn 0.000 0.626 0.399
4 In 0.500 0.625 0.851



[5]
# YRe3

Crystalline YRe3 at its relaxed geometry (PBE-GGA, Alexandria).

Computed properties:
For the relative energy among the computed polymorphs, the calculation gives 280.2 meV per atom. The magnetization is 0.000 μB/cell. Its total energy is -166.524 eV per cell.

abc: 6.326 6.326 8.516
angles: 90.00 90.00 120.00
Sites, in units of the cell vectors:
1 Y 0.000 0.000 0.000
2 Y 0.667 0.333 0.750
3 Y 0.333 0.667 0.250
4 Y 0.000 0.000 0.500
5 Re 0.500 0.000 0.500
6 Re 0.198 0.396 0.750
7 Re 0.500 0.000 0.000
8 Re 0.802 0.604 0.250
9 Re 0.198 0.802 0.750
10 Re 0.802 0.198 0.250
11 Re 0.500 0.500 0.000
12 Re 0.500 0.500 0.500
13 Re 0.000 0.500 0.000
14 Re 0.604 0.802 0.750
15 Re 0.000 0.500 0.500
16 Re 0.396 0.198 0.250



[6]
# Mn4Pt3

Crystalline Mn4Pt3 at its relaxed geometry (PBE-GGA, Alexandria).

Computed properties:
For the relative energy among the computed polymorphs, the calculation gives 0.0 meV per atom. The magnetization is 12.898 μB/cell. Its total energy is -55.262 eV per cell.

abc: 12.312 12.312 12.312
angles: 166.64 166.64 18.94
Sites, in units of the cell vectors:
1 Mn 0.861 0.861 0.000
2 Mn 0.572 0.572 0.000
3 Mn 0.139 0.139 0.000
4 Mn 0.428 0.428 0.000
5 Pt 0.707 0.707 0.000
6 Pt 0.293 0.293 0.000
7 Pt 0.000 0.000 0.000



[7]
# YCo2Br

Crystalline YCo2Br at its relaxed geometry (PBE-GGA, Alexandria).

Computed properties:
For the relative energy among the computed polymorphs, the calculation gives 36.7 meV per atom. The magnetization is 2.024 μB/cell. Its total energy is -23.383 eV per cell.

abc: 7.655 7.655 7.655
angles: 29.03 29.03 29.03
Sites, in units of the cell vectors:
1 Br 0.766 0.766 0.766
2 Co 0.272 0.272 0.272
3 Co 0.941 0.941 0.941
4 Y 0.521 0.521 0.521



[8]
# Pm6Tl3In

Crystalline Pm6Tl3In at its relaxed geometry (PBE-GGA, Alexandria).

Computed properties:
For the relative energy among the computed polymorphs, the calculation gives 0.0 meV per atom. The magnetization is 0.001 μB/cell. Its total energy is -82.952 eV per cell.

abc: 5.371 9.828 11.817
angles: 105.54 90.00 90.00
Sites, in units of the cell vectors:
1 Pm 0.250 0.241 0.504
2 Pm 0.750 0.541 0.908
3 Pm 0.750 0.341 0.320
4 Pm 0.750 0.161 0.690
5 Pm 0.250 0.124 0.161
6 Pm 0.750 0.876 0.839
7 Pm 0.750 0.899 0.118
8 Pm 0.250 0.101 0.882
9 Pm 0.250 0.459 0.092
10 Pm 0.250 0.659 0.680
11 Pm 0.250 0.839 0.310
12 Pm 0.750 0.759 0.496
13 In 0.750 0.048 0.392
14 In 0.250 0.952 0.608
15 Tl 0.250 0.381 0.789
16 Tl 0.750 0.471 0.612
17 Tl 0.250 0.775 0.973
18 Tl 0.250 0.529 0.388
19 Tl 0.750 0.225 0.027
20 Tl 0.750 0.619 0.211